No. 1
Entry from Alexandria: crystalline RbCrCu at its relaxed geometry (PBE).

abc: 10.4297 4.6345 4.3118
angles: 89.98 89.77 89.88
Closest atoms and distances in Å follow each position.
Atoms (fractional coordinates):
Cu (0.4619, 0.8917, 0.3751)  2 Cu 2.41, 4 Cr 2.51-2.52
Rb (0.1060, 0.8770, 0.3805)  4 Cr 3.62-3.66, 3 Cu 3.71-3.87
Rb (0.6816, 0.3845, 0.8800)  2 Cr 3.50-3.52, 5 Cu 3.65-3.91
Cr (0.3727, 0.0885, 0.8762)  1 Cr 1.82
Cu (0.3977, 0.3919, 0.3758)  2 Cu 2.41, 4 Cr 2.59
Cr (0.3740, 0.6958, 0.8762)  1 Cr 1.82

Results
Relative energy among the computed polymorphs (meV/atom): 136.0
Crystal system: triclinic
Energy of formation from the pure elements (eV per atom): 0.69

***

No. 2
Entry from Alexandria: crystalline Rb2CrCu at its relaxed geometry (PBE).

abc: 6.0767 6.0767 6.0767
angles: 60.00 60.00 60.00
Closest atoms and distances in Å follow each position.
Atoms (fractional coordinates):
Cr (0.0000, 0.0000, 0.0000)  8 Rb 3.72
Rb (0.7500, 0.7500, 0.7500)  4 Cu 3.72, 4 Cr 3.72
Rb (0.2500, 0.2500, 0.2500)  4 Cu 3.72, 4 Cr 3.72
Cu (0.5000, 0.5000, 0.5000)  8 Rb 3.72

Results
Relative energy among the computed polymorphs (meV/atom): 167.2
Crystal system: cubic
Energy of formation from the pure elements (eV per atom): 0.93

***

No. 3
Entry from Alexandria: crystalline RbCrCu at its relaxed geometry (PBE).

abc: 8.9722 3.0317 11.6132
angles: 90.00 90.00 90.00
Closest atoms and distances in Å follow each position.
Atoms (fractional coordinates):
Cr (0.5670, 0.2500, 0.0340)  2 Cr 2.09
Rb (0.0802, 0.2500, 0.8232)  2 Rb 3.03
Cr (0.9330, 0.7500, 0.5340)  2 Cr 2.09
Rb (0.9198, 0.7500, 0.1768)  2 Rb 3.03
Rb (0.4198, 0.7500, 0.3232)  2 Rb 3.03
Rb (0.5802, 0.2500, 0.6768)  2 Rb 3.03
Cu (0.2302, 0.7500, 0.5790)  3 Cr 2.48-2.72
Cr (0.4330, 0.7500, 0.9660)  2 Cr 2.09
Cu (0.7698, 0.2500, 0.4210)  3 Cr 2.48-2.72
Cu (0.7302, 0.7500, 0.9210)  3 Cr 2.48-2.72
Cr (0.0670, 0.2500, 0.4660)  2 Cr 2.09
Cu (0.2698, 0.2500, 0.0790)  3 Cr 2.48-2.72

Results
Relative energy among the computed polymorphs (meV/atom): 306.8
Crystal system: orthorhombic
Energy of formation from the pure elements (eV per atom): 0.86

***

No. 4
Entry from Alexandria: crystalline RbCrCu at its relaxed geometry (PBE).

abc: 10.5436 5.0131 5.0130
angles: 55.57 97.49 97.54
Closest atoms and distances in Å follow each position.
Atoms (fractional coordinates):
Cu (0.4328, 0.0269, 0.1451)  2 Cu 2.46, 4 Cr 2.54-2.55
Cr (0.3989, 0.0943, 0.5986)  1 Cr 1.80
Cr (0.3989, 0.4801, 0.2128)  1 Cr 1.80
Rb (0.1151, 0.9670, 0.0875)  3 Cu 3.31-3.52
Rb (0.6829, 0.6071, 0.7243)  3 Cu 3.31-3.52
Cu (0.3653, 0.5478, 0.6663)  2 Cu 2.46, 4 Cr 2.54-2.55

Results
Relative energy among the computed polymorphs (meV/atom): 108.7
Crystal system: triclinic
Energy of formation from the pure elements (eV per atom): 0.66

***

No. 5
Entry from Alexandria: crystalline RbCrCu at its relaxed geometry (PBE).

abc: 5.3057 5.3057 6.3902
angles: 90.00 90.00 120.00
Closest atoms and distances in Å follow each position.
Atoms (fractional coordinates):
Rb (0.0000, 0.0000, 0.2498)  2 Rb 3.20, 6 Cu 3.42-3.49, 6 Cr 3.42-3.49
Cr (0.6667, 0.3333, 0.9883)  5 Cu 3.04-3.35
Cu (0.6667, 0.3333, 0.5120)  5 Cr 3.04-3.35
Cu (0.3333, 0.6667, 0.0120)  5 Cr 3.04-3.35
Rb (0.0000, 0.0000, 0.7498)  2 Rb 3.20, 6 Cu 3.42-3.49, 6 Cr 3.42-3.49
Cr (0.3333, 0.6667, 0.4883)  5 Cu 3.04-3.35

Results
Relative energy among the computed polymorphs (meV/atom): 541.1
Crystal system: hexagonal
Energy of formation from the pure elements (eV per atom): 1.09

***

No. 6
Entry from Alexandria: crystalline Rb2CrCu at its relaxed geometry (PBE).

abc: 12.6881 12.6881 9.3182
angles: 47.09 47.09 90.00
Closest atoms and distances in Å follow each position.
Atoms (fractional coordinates):
Cr (0.2500, 0.7500, 0.5000)  2 Cu 2.52
Cr (0.5000, 0.5000, 0.0000)  2 Cu 2.52
Cu (0.0000, 0.0000, 0.0000)  2 Cr 2.52
Cu (0.7500, 0.2500, 0.5000)  2 Cr 2.52
Rb (0.8750, 0.0454, 0.7500)  2 Cu 3.39
Rb (0.3750, 0.2046, 0.7500)  2 Cu 3.39
Rb (0.9546, 0.6250, 0.2500)  2 Cu 3.39
Rb (0.7954, 0.1250, 0.2500)  2 Cu 3.39

Results
Relative energy among the computed polymorphs (meV/atom): 0.0
Crystal system: tetragonal
Energy of formation from the pure elements (eV per atom): 0.76

***

No. 7
Entry from Alexandria: crystalline RbCrCu at its relaxed geometry (PBE).

abc: 4.8458 4.8458 8.2833
angles: 90.00 90.00 90.00
Closest atoms and distances in Å follow each position.
Atoms (fractional coordinates):
Rb (0.0000, 0.5000, 0.1758)  5 Cr 3.51-3.90, 4 Cu 3.62
Cr (0.5000, 0.0000, 0.4008)  4 Cu 2.56
Cr (0.0000, 0.5000, 0.5992)  4 Cu 2.56
Rb (0.5000, 0.0000, 0.8242)  5 Cr 3.51-3.90, 4 Cu 3.62
Cu (0.0000, 0.0000, 0.5000)  4 Cr 2.56
Cu (0.5000, 0.5000, 0.5000)  4 Cr 2.56

Results
Relative energy among the computed polymorphs (meV/atom): 217.8
Crystal system: tetragonal
Energy of formation from the pure elements (eV per atom): 0.77

***

No. 8
Entry from Alexandria: crystalline RbCrCu at its relaxed geometry (PBE).

abc: 11.8140 4.2535 4.2546
angles: 120.02 90.14 91.48
Closest atoms and distances in Å follow each position.
Atoms (fractional coordinates):
Cr (0.4126, 0.2578, 0.3301)  6 Cu 2.51-2.80, 3 Cr 2.66
Rb (0.7188, 0.9570, 0.6814)  3 Cr 3.56-3.57
Rb (0.0966, 0.2271, 0.3117)  3 Cu 3.41-3.42, 1 Cr 3.73
Cu (0.2980, 0.5795, 0.9903)  1 Cr 2.38, 3 Cu 2.59
Cr (0.4997, 0.6005, 0.0021)  1 Cu 2.38, 3 Cr 2.66
Cu (0.3682, 0.9200, 0.6608)  3 Cr 2.51, 3 Cu 2.59

Results
Relative energy among the computed polymorphs (meV/atom): 0.0
Crystal system: triclinic
Energy of formation from the pure elements (eV per atom): 0.55

***

No. 9
Entry from Alexandria: crystalline RbCrCu at its relaxed geometry (PBE).

abc: 5.3060 5.3060 7.6561
angles: 90.00 90.00 120.00
Closest atoms and distances in Å follow each position.
Atoms (fractional coordinates):
Rb (0.6667, 0.3333, 0.0000)  2 Rb 3.83, 6 Cu 4.04, 6 Cr 4.26
Rb (0.6667, 0.3333, 0.5000)  6 Cr 3.18, 6 Cu 3.29
Cr (0.0000, 0.0000, 0.3866)  1 Cr 1.74
Cr (0.0000, 0.0000, 0.6134)  1 Cr 1.74
Cu (0.3333, 0.6667, 0.3434)  1 Cu 2.40
Cu (0.3333, 0.6667, 0.6566)  1 Cu 2.40

Results
Relative energy among the computed polymorphs (meV/atom): 629.5
Crystal system: hexagonal
Energy of formation from the pure elements (eV per atom): 1.18

***

No. 10
Entry from Alexandria: crystalline RbCrCu at its relaxed geometry (PBE).

abc: 4.4178 4.4178 11.1295
angles: 90.00 90.00 120.00
Closest atoms and distances in Å follow each position.
Atoms (fractional coordinates):
Cr (0.3333, 0.6667, 0.7500)  3 Cu 2.55
Rb (0.0000, 0.0000, 0.0000)  6 Cr 3.77, 6 Cu 3.77
Cu (0.3333, 0.6667, 0.2500)  3 Cr 2.55
Rb (0.0000, 0.0000, 0.5000)  6 Cu 3.77, 6 Cr 3.77
Cr (0.6667, 0.3333, 0.2500)  3 Cu 2.55
Cu (0.6667, 0.3333, 0.7500)  3 Cr 2.55

Results
Relative energy among the computed polymorphs (meV/atom): 341.0
Crystal system: hexagonal
Energy of formation from the pure elements (eV per atom): 0.89

***

No. 11
Entry from Alexandria: crystalline RbCrCuS2 at its relaxed geometry (PBE).

abc: 5.3597 6.1894 7.7242
angles: 113.62 90.00 90.00
Closest atoms and distances in Å follow each position.
Atoms (fractional coordinates):
Cr (0.5000, 0.2500, 0.0000)  4 S 2.41
Rb (0.2271, 0.7500, 0.5000)  4 S 3.29-3.47
S (0.2941, 0.3950, 0.7899)  1 Cu 2.17, 2 Cr 2.41
S (0.2941, 0.1050, 0.2101)  1 Cu 2.17, 2 Cr 2.41
S (0.7059, 0.6050, 0.2101)  1 Cu 2.17, 2 Cr 2.41
Cr (0.5000, 0.7500, 0.0000)  4 S 2.41
Rb (0.7729, 0.2500, 0.5000)  4 S 3.29-3.47
S (0.7059, 0.8950, 0.7899)  1 Cu 2.17, 2 Cr 2.41
Cu (0.0000, 0.5000, 0.0000)  2 S 2.17
Cu (0.0000, 0.0000, 0.0000)  2 S 2.17

Results
Formation energy from raw total energies (eV/atom): -0.606
Crystal system: orthorhombic

***

No. 12
Entry from Alexandria: crystalline Rb2CrCu2S4 at its relaxed geometry (PBE).

abc: 3.7587 7.6344 7.2279
angles: 107.32 105.07 90.00
Closest atoms and distances in Å follow each position.
Atoms (fractional coordinates):
Rb (0.1325, 0.5585, 0.2651)  7 S 3.34-3.44, 1 Rb 3.53, 3 Cu 3.63-3.64
S (0.8133, 0.8384, 0.6266)  3 Cu 2.30-2.41, 1 Cr 2.52
Cr (0.0000, 0.0000, 0.0000)  6 S 2.49-2.52
S (0.5173, 0.7987, 0.0346)  1 Cu 2.31, 2 Cr 2.49
Rb (0.8675, 0.4415, 0.7349)  7 S 3.34-3.44, 1 Rb 3.53, 3 Cu 3.63-3.64
S (0.1867, 0.1616, 0.3734)  3 Cu 2.30-2.41, 1 Cr 2.52
Cu (0.3167, 0.0151, 0.6334)  4 S 2.30-2.41
S (0.4827, 0.2013, 0.9654)  1 Cu 2.31, 2 Cr 2.49
Cu (0.6833, 0.9849, 0.3666)  4 S 2.30-2.41

Results
Formation energy from raw total energies (eV/atom): -0.682
Crystal system: monoclinic

***

no.,total magnetic moment (μB/f.u.)
1,0.00
2,5.13
3,0.00
4,0.00
5,4.85
6,4.99
7,4.73
8,0.19
9,0.00
10,4.62
11,4.00
12,2.42